one:
A relaxed K2BH5 crystal, computed with GGA-PBE.

```
8
Lattice="4.965 0.000 2.261 2.024 4.319 2.137 0.635 0.008 5.188" Properties=species:S:1:pos:R:3 pbc="T T T"
H 1.747 0.795 5.077
B 2.737 4.179 7.153
H 3.142 3.419 6.263
H 5.850 3.581 4.566
K 1.907 1.079 2.393
H 4.953 0.795 6.537
H 2.644 3.581 3.106
K 5.720 3.240 7.184
```

Output
total magnetization: 0.00 μB/f.u.

---

two:
A relaxed K2BH5 crystal, computed with GGA-PBE.

```
8
Lattice="-4.874 2.133 -1.376 -1.338 0.613 5.295 3.827 2.458 -1.468" Properties=species:S:1:pos:R:3 pbc="T T T"
K -1.802 2.892 -0.417
H 1.238 3.066 0.043
B -2.014 4.770 2.154
H -1.696 0.963 4.410
H -4.761 2.225 3.031
H -2.539 3.653 2.178
H -4.314 2.089 -0.529
K -0.187 2.197 2.631
```

Output
total magnetization: 0.05 μB/f.u.

---

Bottom line: two, by a margin of 21.1 kJ/mol of atoms.

---

one:
A relaxed KNaB2H8 crystal, computed with GGA-PBE.

```
12
Lattice="-4.446 -3.066 -5.649 -4.470 -6.012 -2.227 -7.144 -2.376 -2.095" Properties=species:S:1:pos:R:3 pbc="T T T"
H -7.058 -6.436 -3.525
B -1.666 -1.188 -1.035
H -0.771 -0.550 -0.479
H -10.221 -7.333 -5.065
B -9.517 -6.787 -5.909
Na -13.745 -9.803 -8.535
H -10.208 -6.029 -6.584
H -6.496 -5.136 -5.923
K -5.642 -4.024 -3.503
H -8.361 -4.057 -4.158
H -9.023 -7.643 -6.639
H -8.627 -6.153 -5.357
```

Output
total magnetization: 0.00 μB/f.u.

---

two:
A relaxed KNaB2H8 crystal, computed with GGA-PBE.

```
12
Lattice="-3.109 2.961 -0.994 0.011 -1.940 3.957 4.376 5.495 2.682" Properties=species:S:1:pos:R:3 pbc="T T T"
H 1.296 4.250 3.620
B -0.916 2.775 1.363
H -1.604 3.510 2.064
Na 2.188 2.747 1.341
B 2.194 3.741 4.282
H -0.451 3.397 0.414
H 2.910 4.639 4.721
H 2.882 3.006 3.581
K 0.000 0.000 0.000
H -0.018 2.266 2.026
H -1.632 1.877 0.925
H 1.729 3.119 5.232
```

Output
total magnetization: 0.00 μB/f.u.

---

three:
A relaxed KNaB2H8 crystal, computed with GGA-PBE.

```
12
Lattice="7.398 -0.012 -0.008 5.991 4.340 -0.008 5.991 1.936 3.884" Properties=species:S:1:pos:R:3 pbc="T T T"
H 5.079 0.589 0.364
H 4.463 2.495 0.364
Na 0.000 0.000 0.000
K 9.690 3.132 1.934
H 14.917 3.769 3.505
H 6.203 2.005 1.238
H 13.176 4.259 2.630
H 14.917 4.821 1.800
H 14.301 5.675 3.505
B 5.057 1.634 1.009
H 4.463 1.442 2.068
B 14.323 4.629 2.859
```

Output
total magnetization: 0.00 μB/f.u.

---

Bottom line: three, by a margin of 0.9 kJ/mol of atoms.

---

one:
A relaxed KNiBH2 crystal, computed with GGA-PBE.

```
5
Lattice="3.460 0.000 0.000 0.000 3.460 0.000 0.000 0.000 6.143" Properties=species:S:1:pos:R:3 pbc="T T T"
Ni 1.730 1.730 3.072
H 1.730 0.000 0.000
K 0.000 0.000 0.000
B 0.000 0.000 3.072
H 0.000 1.730 0.000
```

Output
total magnetization: 0.00 μB/f.u.

---

two:
A relaxed KNiBH2 crystal, computed with GGA-PBE.

```
5
Lattice="-2.753 -0.748 -1.857 -0.449 -5.506 2.884 -1.987 1.408 2.378" Properties=species:S:1:pos:R:3 pbc="T T T"
K 0.000 0.000 0.000
H -1.376 -0.374 -0.928
H -0.993 0.704 1.189
B -2.594 -2.423 1.703
Ni -0.224 -2.753 1.442
```

Output
total magnetization: 0.00 μB/f.u.

---

Bottom line: one, by a margin of 1.3 kJ/mol of atoms.

---

one:
A relaxed LaBH crystal, computed with GGA-PBE.

```
6
Lattice="4.144 -0.026 -0.001 1.564 4.754 0.002 1.835 0.664 4.690" Properties=species:S:1:pos:R:3 pbc="T T T"
B 4.482 2.350 4.602
H 1.579 0.262 1.829
B 2.615 0.891 1.357
La 4.661 2.652 1.830
H 3.444 2.901 4.040
La 2.417 0.612 4.154
```

Output
total magnetization: 0.00 μB/f.u.

---

two:
A relaxed LaBH crystal, computed with GGA-PBE.

```
6
Lattice="4.073 0.000 0.000 0.000 3.636 0.000 0.000 0.000 6.142" Properties=species:S:1:pos:R:3 pbc="T T T"
H 2.036 1.818 1.154
B 0.000 1.818 3.858
H 2.036 1.818 4.987
La 0.000 0.000 0.000
La 2.036 0.000 3.071
B 0.000 1.818 2.283
```

Output
total magnetization: 0.00 μB/f.u.

---

Bottom line: one, by a margin of 35.7 kJ/mol of atoms.

---

one:
A relaxed LaBH crystal, computed with GGA-PBE.

```
12
Lattice="-5.681 2.370 -4.207 -0.969 -3.096 -0.436 -3.103 -0.014 6.996" Properties=species:S:1:pos:R:3 pbc="T T T"
B -4.392 1.178 1.394
H -5.532 2.130 -2.836
La -6.857 1.807 2.403
B -4.876 -0.370 1.177
B -3.325 -0.363 -2.322
La -1.927 0.549 0.386
H -7.568 0.575 0.444
La -3.963 -1.006 3.666
La -5.790 0.266 -1.313
B -2.841 1.185 -2.104
H -2.185 -1.315 1.909
H -3.252 0.226 5.625
```

Output
total magnetization: 0.00 μB/f.u.

---

two:
A relaxed LaBH crystal, computed with GGA-PBE.

```
6
Lattice="-4.031 -1.065 0.400 -0.502 -5.013 0.524 -1.575 0.598 4.781" Properties=species:S:1:pos:R:3 pbc="T T T"
H -2.748 -4.119 1.760
H -3.360 -1.361 3.945
B -2.536 -0.664 3.235
B -3.572 -4.815 2.470
La -5.585 -4.379 4.376
La -0.523 -1.101 1.329
```

Output
total magnetization: 0.00 μB/f.u.

---

Bottom line: one, by a margin of 9.6 kJ/mol of atoms.

---

one:
A relaxed LaBH crystal, computed with GGA-PBE.

```
12
Lattice="-3.730 -3.007 -5.545 -0.142 -2.830 1.630 -5.418 2.907 4.575" Properties=species:S:1:pos:R:3 pbc="T T T"
La -7.064 -2.114 -1.009
H -2.340 -1.008 1.324
La -1.616 -2.310 -0.874
H -4.978 1.861 2.797
B -6.936 0.651 0.525
H -2.754 1.436 2.253
La -4.254 0.558 0.598
B -4.131 -0.807 -1.761
B -6.911 -0.768 1.341
B -4.299 -2.218 -0.948
H -0.116 -1.433 0.780
La -4.284 -2.153 -4.111
```

Output
total magnetization: 0.00 μB/f.u.

---

two:
A relaxed LaBH crystal, computed with GGA-PBE.

```
12
Lattice="3.922 0.000 0.000 0.000 13.877 0.000 0.000 0.000 3.263" Properties=species:S:1:pos:R:3 pbc="T T T"
La 0.000 5.088 0.816
La 1.961 12.026 0.816
B 1.961 6.731 2.447
B 1.961 7.147 0.816
H 0.000 10.567 0.816
B 0.000 0.208 0.816
H 0.000 3.310 2.447
La 0.000 8.790 2.447
H 1.961 10.249 2.447
H 1.961 3.628 0.816
La 1.961 1.851 2.447
B 0.000 13.669 2.447
```

Output
total magnetization: 0.00 μB/f.u.

---

Bottom line: two, by a margin of 6.8 kJ/mol of atoms.

---

one:
A relaxed La2BH crystal, computed with GGA-PBE.

```
4
Lattice="0.000 3.335 3.335 3.335 0.000 3.335 3.335 3.335 0.000" Properties=species:S:1:pos:R:3 pbc="T T T"
H 0.000 0.000 0.000
La 5.003 5.003 5.003
B 3.335 3.335 3.335
La 1.668 1.668 1.668
```

Output
total magnetization: 0.00 μB/f.u.

---

two:
A relaxed La2BH crystal, computed with GGA-PBE.

```
8
Lattice="5.344 0.000 0.000 0.000 5.344 0.000 2.672 2.672 6.621" Properties=species:S:1:pos:R:3 pbc="T T T"
La 6.680 6.590 4.965
H 2.672 2.672 0.000
B 5.344 2.672 3.310
La 3.918 1.336 1.655
B 0.000 0.000 0.000
H 2.672 5.344 3.310
La 4.008 4.099 4.965
La 1.427 4.008 1.655
```

Output
total magnetization: 0.00 μB/f.u.

---

Bottom line: one, by a margin of 5.8 kJ/mol of atoms.

---

one:
A relaxed LaBH2 crystal, computed with GGA-PBE.

```
4
Lattice="3.283 -0.746 2.165 1.405 2.770 2.525 -0.294 -0.562 3.952" Properties=species:S:1:pos:R:3 pbc="T T T"
B 0.000 0.000 0.000
H 3.295 1.096 6.482
La 2.196 0.731 4.321
H 1.098 0.365 2.161
```

Output
total magnetization: 0.00 μB/f.u.

---

two:
A relaxed LaBH2 crystal, computed with GGA-PBE.

```
8
Lattice="-0.328 -1.066 3.966 0.520 -3.957 -1.021 4.957 -2.011 2.009" Properties=species:S:1:pos:R:3 pbc="T T T"
B 2.786 -4.240 1.230
H 3.920 -4.380 2.356
B 0.096 -2.511 1.472
H 3.756 -4.916 4.338
H 1.441 -3.375 1.350
La 2.363 -2.794 3.723
H 1.181 -1.398 1.863
La 0.000 0.000 0.000
```

Output
total magnetization: 0.00 μB/f.u.

---

Bottom line: one, by a margin of 3.2 kJ/mol of atoms.

---

one:
A relaxed LiBH2 crystal, computed with GGA-PBE.

```
16
Lattice="6.076 0.000 0.000 0.000 3.087 0.000 -4.995 0.000 6.426" Properties=species:S:1:pos:R:3 pbc="T T T"
B -0.980 0.000 4.461
Li 0.000 0.000 0.000
H -0.793 0.000 3.213
H 3.327 0.000 1.935
H -3.291 1.543 6.426
H -2.247 0.000 4.491
B 2.060 0.000 1.964
H 1.873 0.000 3.213
B 1.518 1.543 1.248
Li -2.498 1.543 3.213
H 0.830 1.543 5.148
Li 3.038 0.000 0.000
H 0.250 1.543 1.278
H 4.371 1.543 0.000
Li 0.540 1.543 3.213
B -0.437 1.543 5.177
```

Output
total magnetization: 0.00 μB/f.u.

---

two:
A relaxed LiBH2 crystal, computed with GGA-PBE.

```
16
Lattice="-3.352 2.074 -5.894 -2.624 0.436 1.646 2.487 4.807 2.692" Properties=species:S:1:pos:R:3 pbc="T T T"
B 1.926 4.592 1.855
H -2.315 5.418 -2.153
H 0.118 5.111 -1.165
H -3.287 4.944 -3.578
Li -1.833 1.733 -0.410
B 0.571 4.031 2.815
B 0.639 1.410 0.646
H -3.219 2.322 -5.747
Li -0.935 3.967 -2.540
H -2.437 2.926 -1.688
Li -3.490 1.782 -3.064
Li 0.722 3.918 0.113
H -2.246 2.797 -4.322
H -0.951 3.347 0.569
B -0.629 2.406 1.332
H -0.883 0.725 -1.599
```

Output
total magnetization: 0.00 μB/f.u.

---

Bottom line: one, by a margin of 15.4 kJ/mol of atoms.